(P)
GeP3W: relaxed, PBE-GGA.

## Properties
- M_tot (μB per formula unit) = 0.0
- theoretical density (g cm⁻³) = 6.30

Lattice parameters (Å, degrees): 4.515 4.515 4.515 90.00 90.00 90.00
Space group Pm-3m (No. 221)
Asymmetric unit:
Ge1 0.000 0.000 0.000 [1 per cell]
P1 0.000 0.000 0.500 [3 per cell]
W1 0.500 0.500 0.500 [1 per cell]


(Q)
GeP3W: relaxed, PBE-GGA.

## Properties
- M_tot (μB per formula unit) = 0.0
- theoretical density (g cm⁻³) = 5.51

Lattice parameters (Å, degrees): 4.722 4.722 4.722 90.00 90.00 90.00
Space group Pm-3m (No. 221)
Asymmetric unit:
Ge1 0.000 0.000 0.000 [1 per cell]
P1 0.000 0.500 0.500 [3 per cell]
W1 0.500 0.500 0.500 [1 per cell]


It is (P) that is the least stable of them.


(P)
YGe3P: relaxed, PBE-GGA.

## Properties
- M_tot (μB per formula unit) = 0.0
- theoretical density (g cm⁻³) = 4.99

Lattice parameters (Å, degrees): 4.827 4.827 4.827 90.00 90.00 90.00
Space group Pm-3m (No. 221)
Asymmetric unit:
Y1 0.000 0.000 0.000 [1 per cell]
Ge1 0.000 0.500 0.500 [3 per cell]
P1 0.500 0.500 0.500 [1 per cell]


(Q)
YGe3P: relaxed, PBE-GGA.

## Properties
- M_tot (μB per formula unit) = 0.0
- theoretical density (g cm⁻³) = 3.60

Lattice parameters (Å, degrees): 5.384 5.384 5.384 90.00 90.00 90.00
Space group Pm-3m (No. 221)
Asymmetric unit:
Y1 0.000 0.000 0.000 [1 per cell]
Ge1 0.000 0.000 0.500 [3 per cell]
P1 0.500 0.500 0.500 [1 per cell]


It is (Q) that is the least stable of them.


(P)
YGeP3: relaxed, PBE-GGA.

## Properties
- M_tot (μB per formula unit) = 0.0
- theoretical density (g cm⁻³) = 2.99

Lattice parameters (Å, degrees): 5.211 5.211 5.211 90.00 90.00 90.00
Space group Pm-3m (No. 221)
Asymmetric unit:
Y1 0.000 0.000 0.000 [1 per cell]
Ge1 0.500 0.500 0.500 [1 per cell]
P1 0.000 0.000 0.500 [3 per cell]


(Q)
YGeP3: relaxed, PBE-GGA.

## Properties
- M_tot (μB per formula unit) = 0.0
- theoretical density (g cm⁻³) = 4.03

Lattice parameters (Å, degrees): 4.715 4.715 4.715 90.00 90.00 90.00
Space group Pm-3m (No. 221)
Asymmetric unit:
Y1 0.000 0.000 0.000 [1 per cell]
Ge1 0.500 0.500 0.500 [1 per cell]
P1 0.000 0.500 0.500 [3 per cell]


It is (P) that is the least stable of them.


(P)
Zn3GeP: relaxed, PBE-GGA.

## Properties
- M_tot (μB per formula unit) = 1.1
- theoretical density (g cm⁻³) = 4.61

Lattice parameters (Å, degrees): 4.763 4.763 4.763 90.00 90.00 90.00
Space group Pm-3m (No. 221)
Asymmetric unit:
Zn1 0.000 0.000 0.500 [3 per cell]
Ge1 0.000 0.000 0.000 [1 per cell]
P1 0.500 0.500 0.500 [1 per cell]


(Q)
Zn3GeP: relaxed, PBE-GGA.

## Properties
- M_tot (μB per formula unit) = 0.0
- theoretical density (g cm⁻³) = 4.89

Lattice parameters (Å, degrees): 4.669 4.669 4.669 90.00 90.00 90.00
Space group Pm-3m (No. 221)
Asymmetric unit:
Zn1 0.000 0.000 0.500 [3 per cell]
Ge1 0.500 0.500 0.500 [1 per cell]
P1 0.000 0.000 0.000 [1 per cell]


It is (P) that is the least stable of them.


(P)
ZnGeP: relaxed, PBE-GGA.

## Properties
- M_tot (μB per formula unit) = 0.0
- theoretical density (g cm⁻³) = 4.65

Lattice parameters (Å, degrees): 11.242 4.105 6.254 90.00 123.23 90.00
Space group Cm (No. 8)
Asymmetric unit:
Zn1 0.000 0.000 0.000 [2 per cell]
Zn2 0.190 0.500 0.716 [2 per cell]
Ge1 0.329 0.500 0.505 [2 per cell]
Ge2 0.351 0.000 0.293 [2 per cell]
P1 0.043 0.500 0.228 [2 per cell]
P2 0.162 0.000 0.861 [2 per cell]


(Q)
ZnGeP: relaxed, PBE-GGA.

## Properties
- M_tot (μB per formula unit) = 0.0
- theoretical density (g cm⁻³) = 4.64

Lattice parameters (Å, degrees): 11.219 4.074 6.173 90.00 121.05 90.00
Space group C2/m (No. 12)
Asymmetric unit:
Zn1 0.063 0.000 0.374 [4 per cell]
Ge1 0.222 0.000 0.863 [4 per cell]
P1 0.086 0.500 0.201 [4 per cell]


It is (P) that is the least stable of them.


(P)
ZnGeP: relaxed, PBE-GGA.

## Properties
- M_tot (μB per formula unit) = 0.0
- theoretical density (g cm⁻³) = 4.88

Lattice parameters (Å, degrees): 3.599 3.844 4.448 86.21 87.20 69.65
Space group P1 (No. 1)
Asymmetric unit:
Zn1 0.000 0.000 0.000 [1 per cell]
Ge1 0.160 0.499 0.606 [1 per cell]
P1 0.660 0.565 0.249 [1 per cell]


(Q)
ZnGeP: relaxed, PBE-GGA.

## Properties
- M_tot (μB per formula unit) = 0.0
- theoretical density (g cm⁻³) = 5.11

Lattice parameters (Å, degrees): 5.074 3.700 11.704 90.00 90.00 90.00
Space group Amm2 (No. 38)
Asymmetric unit:
Zn1 0.000 0.000 0.000 [2 per cell]
Zn2 0.500 0.000 0.337 [2 per cell]
Ge1 0.000 0.000 0.296 [2 per cell]
Ge2 0.500 0.000 0.631 [2 per cell]
P1 0.000 0.000 0.661 [2 per cell]
P2 0.500 0.000 0.990 [2 per cell]


(R)
ZnGeP: relaxed, PBE-GGA.

## Properties
- M_tot (μB per formula unit) = 0.0
- theoretical density (g cm⁻³) = 5.50

Lattice parameters (Å, degrees): 14.942 2.796 4.886 90.00 90.00 90.00
Space group Amm2 (No. 38)
Asymmetric unit:
Zn1 0.176 0.000 0.000 [4 per cell]
Ge1 0.000 0.000 0.054 [2 per cell]
Ge2 0.500 0.000 0.942 [2 per cell]
P1 0.325 0.000 0.444 [4 per cell]


(S)
ZnGeP: relaxed, PBE-GGA.

## Properties
- M_tot (μB per formula unit) = 0.0
- theoretical density (g cm⁻³) = 4.78

Lattice parameters (Å, degrees): 5.385 3.810 5.956 90.00 106.21 90.00
Space group Pm (No. 6)
Asymmetric unit:
Zn1 0.000 0.000 0.000 [1 per cell]
Zn2 0.368 0.000 0.743 [1 per cell]
Ge1 0.013 0.500 0.685 [1 per cell]
Ge2 0.627 0.500 0.321 [1 per cell]
P1 0.360 0.000 0.337 [1 per cell]
P2 0.682 0.500 0.927 [1 per cell]


It is (R) that is the least stable of them.


(P)
ZnGeP2: relaxed, PBE-GGA.

## Properties
- M_tot (μB per formula unit) = 0.0
- theoretical density (g cm⁻³) = 3.95

Lattice parameters (Å, degrees): 3.6940 3.6940 21.3374 90.00 90.00 120.00
Space group R-3m (No. 166, hexagonal axes)
Asymmetric unit:
Zn1 0.0000 0.0000 0.0000 [3 per cell]
Ge1 0.0000 0.0000 0.5000 [3 per cell]
P1 0.0000 0.0000 0.1052 [6 per cell]


(Q)
ZnGeP2: relaxed, PBE-GGA.

## Properties
- M_tot (μB per formula unit) = 0.0
- theoretical density (g cm⁻³) = 5.10

Lattice parameters (Å, degrees): 6.387 6.387 6.387 90.00 90.00 90.00
Space group Fm-3m (No. 225)
Asymmetric unit:
Zn1 0.000 0.000 0.000 [4 per cell]
Ge1 0.000 0.000 0.500 [4 per cell]
P1 0.250 0.250 0.250 [8 per cell]


It is (Q) that is the least stable of them.


(P)
ZnGeP2: relaxed, PBE-GGA.

## Properties
- M_tot (μB per formula unit) = 0.0
- theoretical density (g cm⁻³) = 4.06

Lattice parameters (Å, degrees): 3.848 3.848 5.522 90.00 90.00 90.00
Space group P-4m2 (No. 115)
Asymmetric unit:
Zn1 0.000 0.000 0.000 [1 per cell]
Ge1 0.500 0.500 0.500 [1 per cell]
P1 0.000 0.500 0.247 [2 per cell]


(Q)
ZnGeP2: relaxed, PBE-GGA.

## Properties
- M_tot (μB per formula unit) = 0.0
- theoretical density (g cm⁻³) = 4.06

Lattice parameters (Å, degrees): 5.499 5.499 10.833 90.00 90.00 90.00
Space group I-42d (No. 122)
Asymmetric unit:
Zn1 0.000 0.000 0.000 [4 per cell]
Ge1 0.000 0.000 0.500 [4 per cell]
P1 0.246 0.250 0.625 [8 per cell]


It is (P) that is the least stable of them.


(P)
ZnGe2P: relaxed, PBE-GGA.

## Properties
- M_tot (μB per formula unit) = 0.0
- theoretical density (g cm⁻³) = 5.00

Lattice parameters (Å, degrees): 3.901 12.175 3.575 90.00 109.14 90.00
Space group C2 (No. 5)
Asymmetric unit:
Zn1 0.000 0.000 0.000 [2 per cell]
Ge1 0.000 0.375 0.500 [2 per cell]
Ge2 0.000 0.742 0.500 [2 per cell]
P1 0.000 0.616 0.000 [2 per cell]


(Q)
ZnGe2P: relaxed, PBE-GGA.

## Properties
- M_tot (μB per formula unit) = 0.0
- theoretical density (g cm⁻³) = 5.71

Lattice parameters (Å, degrees): 6.550 6.550 6.550 90.00 90.00 90.00
Space group Fm-3m (No. 225)
Asymmetric unit:
Zn1 0.000 0.000 0.000 [4 per cell]
Ge1 0.250 0.250 0.250 [8 per cell]
P1 0.000 0.000 0.500 [4 per cell]


It is (Q) that is the least stable of them.


(P)
ZnGe2P: relaxed, PBE-GGA.

## Properties
- M_tot (μB per formula unit) = 0.0
- theoretical density (g cm⁻³) = 5.02

Lattice parameters (Å, degrees): 6.674 4.731 5.555 90.00 114.17 90.00
Space group Cm (No. 8)
Asymmetric unit:
Zn1 0.000 0.000 0.000 [2 per cell]
Ge1 0.174 0.500 0.466 [2 per cell]
Ge2 0.337 0.000 0.562 [2 per cell]
P1 0.135 0.500 0.011 [2 per cell]


(Q)
ZnGe2P: relaxed, PBE-GGA.

## Properties
- M_tot (μB per formula unit) = 0.0
- theoretical density (g cm⁻³) = 4.78

Lattice parameters (Å, degrees): 3.4921 3.4921 23.8318 90.00 90.00 120.00
Space group R-3m (No. 166, hexagonal axes)
Asymmetric unit:
Zn1 0.0000 0.0000 0.0000 [3 per cell]
Ge1 0.0000 0.0000 0.1041 [6 per cell]
P1 0.0000 0.0000 0.5000 [3 per cell]


(R)
ZnGe2P: relaxed, PBE-GGA.

## Properties
- M_tot (μB per formula unit) = 0.0
- theoretical density (g cm⁻³) = 4.55

Lattice parameters (Å, degrees): 6.758 3.926 6.647 90.00 90.05 90.00
Space group Cm (No. 8)
Asymmetric unit:
Zn1 0.000 0.000 0.000 [2 per cell]
Ge1 0.000 0.000 0.622 [2 per cell]
Ge2 0.165 0.500 0.455 [2 per cell]
P1 0.166 0.500 0.109 [2 per cell]


It is (Q) that is the least stable of them.


(P)
Zn2Ge2P: relaxed, PBE-GGA.

## Properties
- M_tot (μB per formula unit) = 0.0
- theoretical density (g cm⁻³) = 5.70

Lattice parameters (Å, degrees): 6.661 6.661 4.034 90.00 90.00 90.00
Space group P4/mbm (No. 127)
Asymmetric unit:
Zn1 0.137 0.363 0.000 [4 per cell]
Ge1 0.168 0.668 0.500 [4 per cell]
P1 0.000 0.000 0.000 [2 per cell]


(Q)
Zn2Ge2P: relaxed, PBE-GGA.

## Properties
- M_tot (μB per formula unit) = 0.0
- theoretical density (g cm⁻³) = 5.65

Lattice parameters (Å, degrees): 7.386 7.386 3.306 90.00 90.00 90.00
Space group P4/mbm (No. 127)
Asymmetric unit:
Zn1 0.119 0.381 0.000 [4 per cell]
Ge1 0.189 0.689 0.500 [4 per cell]
P1 0.000 0.000 0.500 [2 per cell]


It is (Q) that is the least stable of them.